Record 1
This record from the Alexandria database describes a relaxed structure of ScNiH3. The functional is PBE.

Lattice parameters (Å, degrees): 5.6318 5.6318 5.2240 107.88 107.88 31.60
Fractional coordinates of all 10 atoms:
Sc 0.1055 0.1055 0.3255
Sc 0.8945 0.8945 0.6745
Ni 0.3566 0.3566 0.1445
Ni 0.6434 0.6434 0.8555
H 0.0830 0.0830 0.7009
H 0.1908 0.1908 0.0274
H 0.3084 0.3084 0.4482
H 0.6916 0.6916 0.5518
H 0.8092 0.8092 0.9726
H 0.9170 0.9170 0.2991

total moment = 0.000 μB per atom
DOS at the Fermi energy = 1.43 states/eV/cell
VASP energy = -47.1 eV/cell

---

Record 2
This record from the Alexandria database describes a relaxed structure of ScNiH3. The functional is PBE.

Lattice parameters (Å, degrees): 4.3209 3.5964 5.6398 90.00 110.89 90.00
Fractional coordinates of all 10 atoms:
Sc 0.1554 0.2500 0.2907
Sc 0.8446 0.7500 0.7093
Ni 0.4015 0.2500 0.8391
Ni 0.5985 0.7500 0.1609
H 0.0402 0.2500 0.6318
H 0.4077 0.7500 0.8472
H 0.4248 0.7500 0.3691
H 0.5752 0.2500 0.6309
H 0.5923 0.2500 0.1528
H 0.9598 0.7500 0.3682

total moment = 0.000 μB per atom
DOS at the Fermi energy = 4.11 states/eV/cell
VASP energy = -48.9 eV/cell

---

Record 3
This record from the Alexandria database describes a relaxed structure of ScNi5H6. The functional is PBE.

Lattice parameters (Å, degrees): 4.7146 4.7146 4.7358 100.46 100.46 119.21
Fractional coordinates of all 12 atoms:
Sc 0.0000 0.0000 0.0000
Ni 0.1603 0.8397 0.5000
Ni 0.3319 0.6681 0.0000
Ni 0.5000 0.5000 0.5000
Ni 0.6681 0.3319 0.0000
Ni 0.8397 0.1603 0.5000
H 0.1053 0.4890 0.2465
H 0.2609 0.2609 0.7032
H 0.4890 0.1053 0.2465
H 0.5110 0.8947 0.7535
H 0.7391 0.7391 0.2968
H 0.8947 0.5110 0.7535

total moment = 0.000 μB per atom
DOS at the Fermi energy = 2.52 states/eV/cell
VASP energy = -57.7 eV/cell

---

Record 4
This record from the Alexandria database describes a relaxed structure of ScNiH3. The functional is PBE.

Lattice parameters (Å, degrees): 3.3334 3.3334 8.8103 90.00 90.00 120.00
Fractional coordinates of all 10 atoms:
Sc 0.0000 0.0000 0.0000
Sc 0.0000 0.0000 0.5000
Ni 0.3333 0.6667 0.2500
Ni 0.6667 0.3333 0.7500
H 0.0000 0.0000 0.2500
H 0.0000 0.0000 0.7500
H 0.3333 0.6667 0.0673
H 0.3333 0.6667 0.4327
H 0.6667 0.3333 0.5673
H 0.6667 0.3333 0.9327

total moment = 0.000 μB per atom
DOS at the Fermi energy = 5.39 states/eV/cell
VASP energy = -48.1 eV/cell

---

Record 5
This record from the Alexandria database describes a relaxed structure of ScNiH3. The functional is PBE.

Lattice parameters (Å, degrees): 3.5668 3.5668 3.7841 90.00 90.00 90.00
Fractional coordinates of all 5 atoms:
Sc 0.0000 0.0000 0.0000
Ni 0.5000 0.5000 0.2768
H 0.0000 0.0000 0.5034
H 0.0000 0.5000 0.2459
H 0.5000 0.0000 0.2459

total moment = 0.000 μB per atom
DOS at the Fermi energy = 1.40 states/eV/cell
VASP energy = -22.7 eV/cell

---

Record 6
This record from the Alexandria database describes a relaxed structure of Sc6Ni2H. The functional is PBE.

Lattice parameters (Å, degrees): 5.8724 6.3550 10.5934 90.00 123.33 90.00
Fractional coordinates of all 18 atoms:
Sc 0.1181 0.1824 0.4387
Sc 0.1181 0.3176 0.9387
Sc 0.2554 0.6777 0.4379
Sc 0.2554 0.8223 0.9379
Sc 0.3783 0.0286 0.2483
Sc 0.3783 0.4714 0.7483
Sc 0.6217 0.5286 0.2517
Sc 0.6217 0.9714 0.7517
Sc 0.7446 0.1777 0.0621
Sc 0.7446 0.3223 0.5621
Sc 0.8819 0.6824 0.0613
Sc 0.8819 0.8176 0.5613
Ni 0.2008 0.1026 0.7489
Ni 0.2008 0.3974 0.2489
Ni 0.7992 0.6026 0.7511
Ni 0.7992 0.8974 0.2511
H 0.5000 0.0000 0.5000
H 0.5000 0.5000 0.0000

total moment = 0.000 μB per atom
DOS at the Fermi energy = 21.63 states/eV/cell
VASP energy = -111.9 eV/cell

---

Record 7
This record from the Alexandria database describes a relaxed structure of ScNi2H3. The functional is PBE.

Lattice parameters (Å, degrees): 4.8137 4.8137 4.7704 90.00 90.00 94.82
Fractional coordinates of all 12 atoms:
Sc 0.1906 0.8094 0.7500
Sc 0.8094 0.1906 0.2500
Ni 0.3091 0.3091 0.0000
Ni 0.3091 0.3091 0.5000
Ni 0.6909 0.6909 0.0000
Ni 0.6909 0.6909 0.5000
H 0.0739 0.2672 0.7500
H 0.2672 0.0739 0.2500
H 0.4300 0.5700 0.2500
H 0.5700 0.4300 0.7500
H 0.7328 0.9261 0.7500
H 0.9261 0.7328 0.2500

total moment = 0.000 μB per atom
DOS at the Fermi energy = 1.70 states/eV/cell
energy relative to the lowest polymorph listed for this composition = 0.0 meV per atom

---

Record 8
This record from the Alexandria database describes a relaxed structure of ScNi2H8. The functional is PBE.

Lattice parameters (Å, degrees): 4.0667 4.0667 4.4327 90.00 90.00 90.00
Fractional coordinates of all 11 atoms:
Sc 0.0000 0.0000 0.0000
Ni 0.0000 0.5000 0.5000
Ni 0.5000 0.0000 0.5000
H 0.2758 0.2758 0.2978
H 0.2758 0.2758 0.7022
H 0.2758 0.7242 0.2978
H 0.2758 0.7242 0.7022
H 0.7242 0.2758 0.2978
H 0.7242 0.2758 0.7022
H 0.7242 0.7242 0.2978
H 0.7242 0.7242 0.7022

total moment = 0.000 μB per atom
DOS at the Fermi energy = 3.07 states/eV/cell
energy relative to the lowest polymorph listed for this composition = 55.0 meV per atom

---

Record 9
This record from the Alexandria database describes a relaxed structure of ScNiH3. The functional is PBE.

Lattice parameters (Å, degrees): 3.6590 3.6590 3.6590 93.43 93.43 93.43
Fractional coordinates of all 5 atoms:
Sc 0.0000 0.0000 0.0000
Ni 0.4355 0.4355 0.4355
H 0.1355 0.1355 0.5288
H 0.1355 0.5288 0.1355
H 0.5288 0.1355 0.1355

total moment = 0.000 μB per atom
DOS at the Fermi energy = 0.00 states/eV/cell
VASP energy = -22.7 eV/cell

---

Record 10
This record from the Alexandria database describes a relaxed structure of ScNiH3. The functional is PBE.

Lattice parameters (Å, degrees): 3.3726 3.3726 3.3726 90.00 90.00 90.00
Fractional coordinates of all 5 atoms:
Sc 0.0000 0.0000 0.0000
Ni 0.5000 0.5000 0.5000
H 0.0000 0.5000 0.5000
H 0.5000 0.0000 0.5000
H 0.5000 0.5000 0.0000

total moment = 0.000 μB per atom
DOS at the Fermi energy = 0.50 states/eV/cell
VASP energy = -24.4 eV/cell

---

Record 11
This record from the Alexandria database describes a relaxed structure of Sc5Ni2H12. The functional is PBE.

Lattice parameters (Å, degrees): 5.7758 5.7758 6.5321 103.65 103.65 54.40
Fractional coordinates of all 19 atoms:
Sc 0.0000 0.0000 0.0000
Sc 0.2840 0.2840 0.6503
Sc 0.3242 0.3242 0.1495
Sc 0.6758 0.6758 0.8505
Sc 0.7160 0.7160 0.3497
Ni 0.2389 0.7611 0.5000
Ni 0.7611 0.2389 0.5000
H 0.0359 0.0359 0.6749
H 0.0866 0.5872 0.9098
H 0.1295 0.5293 0.4184
H 0.4128 0.9134 0.0902
H 0.4707 0.8705 0.5816
H 0.4867 0.4867 0.6657
H 0.5133 0.5133 0.3343
H 0.5293 0.1295 0.4184
H 0.5872 0.0866 0.9098
H 0.8705 0.4707 0.5816
H 0.9134 0.4128 0.0902
H 0.9641 0.9641 0.3251

total moment = 0.000 μB per atom
DOS at the Fermi energy = 5.48 states/eV/cell
VASP energy = -91.9 eV/cell

---

Record 12
This record from the Alexandria database describes a relaxed structure of ScNi2H3. The functional is PBE.

Lattice parameters (Å, degrees): 6.5419 6.5419 4.7802 104.37 104.37 31.21
Fractional coordinates of all 12 atoms:
Sc 0.1184 0.1184 0.2894
Sc 0.8816 0.8816 0.7106
Ni 0.2197 0.2197 0.8358
Ni 0.4354 0.4354 0.2185
Ni 0.5646 0.5646 0.7815
Ni 0.7803 0.7803 0.1642
H 0.0752 0.0752 0.7989
H 0.2892 0.2892 0.2298
H 0.4405 0.4405 0.5886
H 0.5595 0.5595 0.4114
H 0.7108 0.7108 0.7702
H 0.9248 0.9248 0.2011

total moment = 0.000 μB per atom
DOS at the Fermi energy = 4.82 states/eV/cell
energy relative to the lowest polymorph listed for this composition = 13.5 meV per atom

---

Record 13
This record from the Alexandria database describes a relaxed structure of Sc3Ni8H. The functional is PBE.

Lattice parameters (Å, degrees): 8.3495 8.3495 8.3495 33.79 33.79 33.79
Fractional coordinates of all 12 atoms:
Sc 0.0000 0.0000 0.0000
Sc 0.1315 0.1315 0.1315
Sc 0.6097 0.6097 0.6097
Ni 0.0540 0.5633 0.5633
Ni 0.0595 0.0595 0.5664
Ni 0.0595 0.5664 0.0595
Ni 0.3104 0.3104 0.3104
Ni 0.5633 0.0540 0.5633
Ni 0.5633 0.5633 0.0540
Ni 0.5664 0.0595 0.0595
Ni 0.8118 0.8118 0.8118
H 0.4315 0.4315 0.4315

total moment = 0.000 μB per atom
DOS at the Fermi energy = 11.68 states/eV/cell
VASP energy = -72.8 eV/cell

---

Record 14
This record from the Alexandria database describes a relaxed structure of ScNiH3. The functional is PBE.

Lattice parameters (Å, degrees): 3.6443 3.6443 3.6443 90.00 90.00 90.00
Fractional coordinates of all 5 atoms:
Sc 0.0000 0.0000 0.0000
Ni 0.5000 0.5000 0.5000
H 0.0000 0.0000 0.5000
H 0.0000 0.5000 0.0000
H 0.5000 0.0000 0.0000

total moment = 0.000 μB per atom
DOS at the Fermi energy = 1.44 states/eV/cell
VASP energy = -21.1 eV/cell

---

Record 15
This record from the Alexandria database describes a relaxed structure of ScNiH3. The functional is PBE.

Lattice parameters (Å, degrees): 5.3122 5.3122 5.3122 49.06 49.06 49.06
Fractional coordinates of all 10 atoms:
Sc 0.1034 0.1034 0.1034
Sc 0.8966 0.8966 0.8966
Ni 0.3130 0.3130 0.3130
Ni 0.6870 0.6870 0.6870
H 0.0969 0.5916 0.5916
H 0.4084 0.4084 0.9031
H 0.4084 0.9031 0.4084
H 0.5916 0.0969 0.5916
H 0.5916 0.5916 0.0969
H 0.9031 0.4084 0.4084

total moment = 0.000 μB per atom
DOS at the Fermi energy = 5.44 states/eV/cell
VASP energy = -47.5 eV/cell

---

Record 16
This record from the Alexandria database describes a relaxed structure of ScNi2H. The functional is PBE.

Lattice parameters (Å, degrees): 5.0973 5.0973 5.0973 60.00 60.00 60.00
Fractional coordinates of all 8 atoms:
Sc 0.1250 0.1250 0.1250
Sc 0.8750 0.8750 0.8750
Ni 0.0000 0.5000 0.5000
Ni 0.5000 0.0000 0.5000
Ni 0.5000 0.5000 0.0000
Ni 0.5000 0.5000 0.5000
H 0.3750 0.3750 0.3750
H 0.6250 0.6250 0.6250

total moment = 0.000 μB per atom
DOS at the Fermi energy = 3.59 states/eV/cell
energy relative to the lowest polymorph listed for this composition = 0.0 meV per atom

---

Record 17
This record from the Alexandria database describes a relaxed structure of ScNiH3. The functional is PBE.

Lattice parameters (Å, degrees): 5.5797 5.5797 4.3733 90.80 90.80 36.30
Fractional coordinates of all 10 atoms:
Sc 0.0000 0.0000 0.0000
Sc 0.7241 0.7241 0.4732
Ni 0.2900 0.2900 0.0091
Ni 0.4436 0.4436 0.4931
H 0.1700 0.1700 0.2370
H 0.3025 0.3025 0.6465
H 0.5499 0.5499 0.2303
H 0.5580 0.5580 0.7495
H 0.7912 0.7912 0.0021
H 0.9361 0.9361 0.4841

total moment = 0.000 μB per atom
DOS at the Fermi energy = 3.63 states/eV/cell
VASP energy = -49.0 eV/cell

---

Record 18
This record from the Alexandria database describes a relaxed structure of ScNi8H6. The functional is PBE.

Lattice parameters (Å, degrees): 6.9682 6.9682 6.9682 38.64 38.64 38.64
Fractional coordinates of all 15 atoms:
Sc 0.0000 0.0000 0.0000
Ni 0.1102 0.4477 0.7833
Ni 0.2167 0.8898 0.5523
Ni 0.3350 0.3350 0.3350
Ni 0.4477 0.7833 0.1102
Ni 0.5523 0.2167 0.8898
Ni 0.6650 0.6650 0.6650
Ni 0.7833 0.1102 0.4477
Ni 0.8898 0.5523 0.2167
H 0.0760 0.7165 0.4211
H 0.2835 0.5789 0.9240
H 0.4211 0.0760 0.7165
H 0.5789 0.9240 0.2835
H 0.7165 0.4211 0.0760
H 0.9240 0.2835 0.5789

total moment = 0.000 μB per atom
DOS at the Fermi energy = 9.17 states/eV/cell
VASP energy = -74.7 eV/cell

---

Record 19
This record from the Alexandria database describes a relaxed structure of ScNi2H2. The functional is PBE.

Lattice parameters (Å, degrees): 5.4563 5.4563 3.3928 90.00 90.00 90.00
Fractional coordinates of all 10 atoms:
Sc 0.0000 0.0000 0.0000
Sc 0.5000 0.5000 0.0000
Ni 0.1547 0.3453 0.5000
Ni 0.3453 0.8453 0.5000
Ni 0.6547 0.1547 0.5000
Ni 0.8453 0.6547 0.5000
H 0.1466 0.3534 0.0000
H 0.3534 0.8534 0.0000
H 0.6466 0.1466 0.0000
H 0.8534 0.6466 0.0000

total moment = 0.000 μB per atom
DOS at the Fermi energy = 5.27 states/eV/cell
energy relative to the lowest polymorph listed for this composition = 130.9 meV per atom

---

Record 20
This record from the Alexandria database describes a relaxed structure of ScNiH3. The functional is PBE.

Lattice parameters (Å, degrees): 6.9116 6.9116 6.9116 148.78 148.78 44.73
Fractional coordinates of all 10 atoms:
Sc 0.1176 0.1176 0.0000
Sc 0.8824 0.8824 0.0000
Ni 0.5000 0.5000 0.0000
Ni 0.7500 0.2500 0.5000
H 0.0149 0.5149 0.5000
H 0.1106 0.3505 0.7601
H 0.4851 0.9851 0.5000
H 0.5904 0.3505 0.2399
H 0.6495 0.4096 0.7601
H 0.6495 0.8894 0.2399

total moment = 0.000 μB per atom
DOS at the Fermi energy = 0.45 states/eV/cell
VASP energy = -45.9 eV/cell